(1)
Material: TcCl5
Method: DFT, GGA-PBE
State: optimized geometry

Calculated values
Mass density   3.11 Mg/m³
SG   No. 38
Polymorph energy (0 for the lowest one)   366.4 meV per atom

Lattice parameters (Å, degrees): 6.671 6.671 6.607 90.00 90.00 150.01
Each line ends with the local moment (μB).
Atoms (fractional coordinates):
Tc: 0.140 0.860 0.500  2.91
Cl: 0.638 0.362 0.000  0.04
Cl: 0.769 0.231 0.500  0.06
Cl: 0.969 0.031 0.000  0.02
Cl: 0.511 0.489 0.500  0.06
Cl: 0.307 0.693 0.000  0.02

***

(2)
Material: Tc3Cl
Method: DFT, GGA-PBE
State: optimized geometry

Calculated values
Mass density   8.48 Mg/m³
SG   No. 63
Polymorph energy (0 for the lowest one)   445.4 meV per atom

Lattice parameters (Å, degrees): 5.144 5.144 4.991 90.00 90.00 102.27
Atoms (fractional coordinates):
Tc: 0.411 0.996 0.750
Tc: 0.004 0.589 0.750
Tc: 0.589 0.004 0.250
Tc: 0.996 0.411 0.250
Tc: 0.096 0.904 0.250
Tc: 0.904 0.096 0.750
Cl: 0.534 0.466 0.750
Cl: 0.466 0.534 0.250

***

(3)
Material: Tc2Cl
Method: DFT, GGA-PBE
State: optimized geometry

Calculated values
Mass density   8.68 Mg/m³
SG   No. 140
Polymorph energy (0 for the lowest one)   1018.2 meV per atom

Lattice parameters (Å, degrees): 4.869 4.869 4.869 107.61 107.61 113.26
Atoms (fractional coordinates):
Cl: 0.750 0.750 0.000
Cl: 0.250 0.250 0.000
Tc: 0.651 0.849 0.500
Tc: 0.151 0.651 0.802
Tc: 0.349 0.151 0.500
Tc: 0.849 0.349 0.198

***

(4)
Material: TcCl5
Method: DFT, GGA-PBE
State: optimized geometry

Calculated values
Mass density   3.47 Mg/m³
SG   No. 216
Polymorph energy (0 for the lowest one)   1164.1 meV per atom

Lattice parameters (Å, degrees): 5.714 5.714 5.714 60.00 60.00 60.00
Each line ends with the local moment (μB).
Atoms (fractional coordinates):
Cl: 0.625 0.124 0.625  -0.07
Cl: 0.625 0.625 0.625  -0.07
Cl: 0.625 0.625 0.124  -0.07
Cl: 0.250 0.250 0.250  0.06
Cl: 0.124 0.625 0.625  -0.07
Tc: 0.000 0.000 0.000  4.12

***

(5)
Material: Tc7Cl
Method: DFT, GGA-PBE
State: optimized geometry

Calculated values
Mass density   10.13 Mg/m³
SG   No. 225
Energy   -8.628 eV/atom

Lattice parameters (Å, degrees): 5.510 5.510 5.510 60.00 60.00 60.00
Atoms (fractional coordinates):
Cl: 0.000 0.000 0.000
Tc: 0.000 0.000 0.500
Tc: 0.500 0.500 0.000
Tc: 0.500 0.500 0.500
Tc: 0.500 0.000 0.500
Tc: 0.000 0.500 0.000
Tc: 0.500 0.000 0.000
Tc: 0.000 0.500 0.500

***

(6)
Material: Tc3Cl
Method: DFT, GGA-PBE
State: optimized geometry

Calculated values
Mass density   9.29 Mg/m³
SG   No. 123
Polymorph energy (0 for the lowest one)   107.2 meV per atom

Lattice parameters (Å, degrees): 2.869 2.869 7.156 90.00 90.00 90.00
Atoms (fractional coordinates):
Tc: 0.000 0.000 0.500
Tc: 0.500 0.500 0.254
Tc: 0.500 0.500 0.746
Cl: 0.000 0.000 0.000

***

(7)
Material: Tc2Cl
Method: DFT, GGA-PBE
State: optimized geometry

Calculated values
Mass density   8.51 Mg/m³
SG   No. 63
Polymorph energy (0 for the lowest one)   548.9 meV per atom

Lattice parameters (Å, degrees): 7.010 7.010 4.521 90.00 90.00 156.01
Atoms (fractional coordinates):
Cl: 0.368 0.632 0.250
Cl: 0.632 0.368 0.750
Tc: 0.035 0.965 0.250
Tc: 0.696 0.304 0.250
Tc: 0.965 0.035 0.750
Tc: 0.304 0.696 0.750

***

(8)
Material: Tc4Cl
Method: DFT, GGA-PBE
State: optimized geometry

Calculated values
Mass density   8.86 Mg/m³
SG   No. 229
Polymorph energy (0 for the lowest one)   787.7 meV per atom

Lattice parameters (Å, degrees): 4.703 4.703 4.703 109.47 109.47 109.47
Atoms (fractional coordinates):
Tc: 0.000 0.000 0.500
Tc: 0.500 0.000 0.000
Tc: 0.500 0.500 0.500
Tc: 0.000 0.500 0.000
Cl: 0.000 0.000 0.000